Record 1
Here is Ac2ZrAgTe5 after structural relaxation from Alexandria. Energies are from PBE.

Calculated values
- Uncorrected formation energy: -10.1 eV per formula unit

Structure (CIF):
```
data_Ac2ZrAgTe5
_cell_length_a 4.4884
_cell_length_b 10.0306
_cell_length_c 13.1334
_cell_angle_alpha 90.00
_cell_angle_beta 90.00
_cell_angle_gamma 102.93
_space_group_name_H-M_alt 'P 1'
_space_group_IT_number 1
loop_
_space_group_symop_operation_xyz
'x,y,z'
loop_
_atom_site_label
_atom_site_fract_x
_atom_site_fract_y
_atom_site_fract_z
Ac1 0.8742 0.7485 0.8107
Ac2 0.1177 0.2354 0.6992
Ac3 0.1258 0.2515 0.3107
Ac4 0.8823 0.7646 0.1992
Zr1 0.8138 0.6276 0.5135
Zr2 0.1862 0.3724 0.0135
Ag1 0.5724 0.1449 0.9465
Ag2 0.4276 0.8551 0.4465
Te1 0.3458 0.6916 0.0074
Te2 0.7013 0.4026 0.8568
Te3 0.4972 0.9945 0.7676
Te4 0.2907 0.5813 0.6631
Te5 0.9551 0.9103 0.5593
Te6 0.6542 0.3084 0.5074
Te7 0.2987 0.5974 0.3568
Te8 0.5028 0.0055 0.2676
Te9 0.7093 0.4187 0.1631
Te10 0.0449 0.0897 0.0593
```



Record 2
Here is Hf5Ru after structural relaxation from Alexandria. Energies are from PBE.

Calculated values
- Formation energy: -103 meV/atom

Structure (CIF):
```
data_Hf5Ru
_cell_length_a 4.9980
_cell_length_b 3.2702
_cell_length_c 7.6373
_cell_angle_alpha 102.36
_cell_angle_beta 90.00
_cell_angle_gamma 90.00
_space_group_name_H-M_alt 'P 1'
_space_group_IT_number 1
loop_
_space_group_symop_operation_xyz
'x,y,z'
loop_
_atom_site_label
_atom_site_fract_x
_atom_site_fract_y
_atom_site_fract_z
Ru1 0.0000 0.0000 0.0000
Hf1 0.5000 0.8320 0.6640
Hf2 0.0000 0.6508 0.3016
Hf3 0.5000 0.5000 0.0000
Hf4 0.0000 0.3492 0.6984
Hf5 0.5000 0.1680 0.3360
```



Record 3
Here is Sc2NbW after structural relaxation from Alexandria. Energies are from PBE.

Calculated values
- Formation energy: 806 meV/atom
- ΔE to the lowest computed polymorph: 347 meV per atom

Structure (CIF):
```
data_Sc2NbW
_cell_length_a 7.5633
_cell_length_b 7.5633
_cell_length_c 6.0502
_cell_angle_alpha 51.31
_cell_angle_beta 51.31
_cell_angle_gamma 90.00
_space_group_name_H-M_alt 'P 1'
_space_group_IT_number 1
loop_
_space_group_symop_operation_xyz
'x,y,z'
loop_
_atom_site_label
_atom_site_fract_x
_atom_site_fract_y
_atom_site_fract_z
Sc1 0.6352 0.1250 0.2500
Sc2 0.1148 0.6250 0.2500
Sc3 0.3750 0.3648 0.7500
Sc4 0.8750 0.8852 0.7500
Nb1 0.5000 0.5000 0.0000
Nb2 0.2500 0.7500 0.5000
W1 0.0000 0.0000 0.0000
W2 0.7500 0.2500 0.5000
```



Record 4
Here is Tm5Sn2Pd12 after structural relaxation from Alexandria. Energies are from PBE.

Calculated values
- Formation energy: -794 meV/atom

Structure (CIF):
```
data_Tm5Sn2Pd12
_cell_length_a 7.5243
_cell_length_b 7.8609
_cell_length_c 6.9783
_cell_angle_alpha 96.62
_cell_angle_beta 90.00
_cell_angle_gamma 118.59
_space_group_name_H-M_alt 'P 1'
_space_group_IT_number 1
loop_
_space_group_symop_operation_xyz
'x,y,z'
loop_
_atom_site_label
_atom_site_fract_x
_atom_site_fract_y
_atom_site_fract_z
Tm1 0.2505 0.5009 0.5578
Tm2 0.3293 0.6585 0.0638
Tm3 0.0000 0.0000 0.5000
Tm4 0.6707 0.3415 0.9362
Tm5 0.7495 0.4991 0.4422
Sn1 0.7849 0.0000 0.0000
Sn2 0.2151 0.0000 0.0000
Pd1 0.1363 0.2727 0.8625
Pd2 0.0181 0.6437 0.7775
Pd3 0.6256 0.6437 0.7775
Pd4 0.1970 0.7900 0.4024
Pd5 0.5930 0.7900 0.4024
Pd6 0.4533 0.9066 0.7486
Pd7 0.5467 0.0934 0.2514
Pd8 0.8030 0.2100 0.5976
Pd9 0.4070 0.2100 0.5976
Pd10 0.9819 0.3563 0.2225
Pd11 0.3744 0.3563 0.2225
Pd12 0.8637 0.7273 0.1375
```